La2ZrRh | PBE | relaxed

a b c (Å): 3.7951 5.4980 10.0053
angles (deg): 90.00 90.00 90.00
Atoms (fractional coordinates):
La1 0.0000 0.0000 0.2069
La2 0.0000 0.0000 0.7931
La3 0.5000 0.5000 0.2931
La4 0.5000 0.5000 0.7069
Zr1 0.0000 0.5000 0.0000
Zr2 0.5000 0.0000 0.5000
Rh1 0.0000 0.5000 0.5000
Rh2 0.5000 0.0000 0.0000

distance to the lowest polymorph of the same formula: 12.0 kJ/mol of atoms

---

La4ZrRh | PBE | relaxed

a b c (Å): 6.2890 6.2890 6.2890
angles (deg): 60.00 60.00 60.00
Atoms (fractional coordinates):
La1 0.1237 0.1237 0.1237
La2 0.1237 0.1237 0.6288
La3 0.1237 0.6288 0.1237
La4 0.6288 0.1237 0.1237
Zr1 0.5000 0.5000 0.5000
Rh1 0.7500 0.7500 0.7500

---

LaZr2Rh | PBE | relaxed

a b c (Å): 3.3554 4.7373 5.9392
angles (deg): 90.00 105.90 90.00
Atoms (fractional coordinates):
La1 0.0000 0.0000 0.0000
Zr1 0.3028 0.5000 0.7199
Zr2 0.6972 0.5000 0.2801
Rh1 0.5000 0.0000 0.5000

distance to the lowest polymorph of the same formula: 17.1 kJ/mol of atoms

---

La2ZrRh2 | PBE | relaxed

a b c (Å): 7.3469 7.3469 4.4530
angles (deg): 90.00 90.00 90.00
Atoms (fractional coordinates):
La1 0.1647 0.3353 0.0000
La2 0.3353 0.8353 0.0000
La3 0.6647 0.1647 0.0000
La4 0.8353 0.6647 0.0000
Zr1 0.0000 0.0000 0.5000
Zr2 0.5000 0.5000 0.5000
Rh1 0.1486 0.6486 0.5000
Rh2 0.3514 0.1486 0.5000
Rh3 0.6486 0.8514 0.5000
Rh4 0.8514 0.3514 0.5000

---

La2ZrRh | PBE | relaxed

a b c (Å): 4.3023 4.3023 10.9180
angles (deg): 90.00 90.00 90.00
Atoms (fractional coordinates):
La1 0.0000 0.0000 0.0000
La2 0.0000 0.5000 0.2500
La3 0.5000 0.0000 0.7500
La4 0.5000 0.5000 0.5000
Zr1 0.0000 0.0000 0.5000
Zr2 0.5000 0.5000 0.0000
Rh1 0.0000 0.5000 0.7500
Rh2 0.5000 0.0000 0.2500

distance to the lowest polymorph of the same formula: 25.0 kJ/mol of atoms

---

La2ZrRh | PBE | relaxed

a b c (Å): 7.4395 7.4395 7.4395
angles (deg): 90.00 90.00 90.00
Atoms (fractional coordinates):
La1 0.2500 0.2500 0.2500
La2 0.2500 0.2500 0.7500
La3 0.2500 0.7500 0.2500
La4 0.2500 0.7500 0.7500
La5 0.7500 0.2500 0.2500
La6 0.7500 0.2500 0.7500
La7 0.7500 0.7500 0.2500
La8 0.7500 0.7500 0.7500
Zr1 0.0000 0.0000 0.0000
Zr2 0.0000 0.5000 0.5000
Zr3 0.5000 0.0000 0.5000
Zr4 0.5000 0.5000 0.0000
Rh1 0.0000 0.0000 0.5000
Rh2 0.0000 0.5000 0.0000
Rh3 0.5000 0.0000 0.0000
Rh4 0.5000 0.5000 0.5000

distance to the lowest polymorph of the same formula: 32.3 kJ/mol of atoms

---

Number 1: formation enthalpy at 0 K -0.164 eV per atom, E_tot -6.603 eV per atom, magnetic moment 0.11 μB per cell. Number 2: formation enthalpy at 0 K 0.636 eV per atom, E_tot -5.299 eV per atom, magnetic moment 1.58 μB per cell. Number 3: formation enthalpy at 0 K -0.125 eV per atom, E_tot -7.469 eV per atom, magnetic moment 0.00 μB per cell. Number 4: formation enthalpy at 0 K -0.547 eV per atom, E_tot -7.168 eV per atom, magnetic moment 0.00 μB per cell. Number 5: formation enthalpy at 0 K -0.030 eV per atom, E_tot -6.468 eV per atom, magnetic moment 0.00 μB per cell. Number 6: formation enthalpy at 0 K 0.047 eV per atom, E_tot -6.392 eV per atom, magnetic moment 8.67 μB per cell.